Entry 1:
VASP calculation (PBE-GGA) on a geometry-optimized Tb2SiO structure.

Calculated values
Density of states at the Fermi level ... 0.623 states/eV/f.u.
Excess energy over the best structure of this formula in the dataset ... 0 meV per atom
Space-group type ... P2/c
Energy relative to the elements, uncorrected ... -1.669 eV/atom
M_tot ... 0.00 μB/f.u.

a b c (Å): 5.655 5.744 10.541
angles (deg): 93.56 90.00 90.00
Fractional coordinates of all 16 atoms:
Si  0.268  0.984  0.374
Tb  0.233  0.956  0.641
Tb  0.767  0.456  0.141
O  0.179  0.931  0.877
Tb  0.219  0.487  0.393
O  0.821  0.431  0.377
Si  0.732  0.016  0.626
Tb  0.781  0.987  0.893
Tb  0.781  0.513  0.607
Tb  0.233  0.544  0.859
Tb  0.219  0.013  0.107
Si  0.732  0.484  0.874
Tb  0.767  0.044  0.359
O  0.821  0.069  0.123
Si  0.268  0.516  0.126
O  0.179  0.569  0.623

=====

Entry 2:
VASP calculation (PBE-GGA) on a geometry-optimized Tb3Si2O structure.

Calculated values
Density of states at the Fermi level ... 3.325 states/eV/f.u.
Space-group type ... C2/c
Energy relative to the elements, uncorrected ... -1.341 eV/atom
M_tot ... 0.00 μB/f.u.

a b c (Å): 6.731 6.214 6.214
angles (deg): 76.78 83.84 83.84
Fractional coordinates of all 12 atoms:
Tb  0.024  0.073  0.216
Si  0.864  0.469  0.890
Tb  0.476  0.784  0.927
Tb  0.976  0.927  0.784
O  0.250  0.090  0.910
Tb  0.524  0.216  0.073
O  0.750  0.910  0.090
Si  0.636  0.110  0.531
Tb  0.750  0.606  0.394
Si  0.136  0.531  0.110
Tb  0.250  0.394  0.606
Si  0.364  0.890  0.469

=====

Entry 3:
VASP calculation (PBE-GGA) on a geometry-optimized Tb6Si3O structure.

Calculated values
Density of states at the Fermi level ... 8.732 states/eV/f.u.
Space-group type ... Cmc2_1
Energy relative to the elements, uncorrected ... -0.980 eV/atom
M_tot ... 0.00 μB/f.u.

a b c (Å): 6.751 8.891 8.891
angles (deg): 102.23 90.00 90.00
Fractional coordinates of all 20 atoms:
Tb  0.698  0.311  0.365
Tb  0.183  0.110  0.576
Tb  0.683  0.576  0.110
Tb  0.154  0.048  0.952
O  0.524  0.801  0.199
Tb  0.198  0.365  0.311
O  0.024  0.199  0.801
Si  0.969  0.719  0.935
Tb  0.654  0.952  0.048
Si  0.469  0.935  0.719
Tb  0.696  0.225  0.775
Tb  0.198  0.689  0.635
Tb  0.683  0.890  0.424
Tb  0.183  0.424  0.890
Si  0.912  0.612  0.388
Tb  0.196  0.775  0.225
Si  0.469  0.281  0.065
Tb  0.698  0.635  0.689
Si  0.969  0.065  0.281
Si  0.412  0.388  0.612

=====

Entry 4:
VASP calculation (PBE-GGA) on a geometry-optimized Tb2SiO structure.

Calculated values
Density of states at the Fermi level ... 1.606 states/eV/f.u.
Excess energy over the best structure of this formula in the dataset ... 55 meV per atom
Space-group type ... R-3m
Energy relative to the elements, uncorrected ... -1.615 eV/atom
M_tot ... 0.00 μB/f.u.

a b c (Å): 3.725 3.725 6.739
angles (deg): 73.96 73.96 60.00
Fractional coordinates of all 4 atoms:
Tb  0.762  0.762  0.715
Tb  0.238  0.238  0.285
O  0.500  0.500  0.500
Si  0.000  0.000  0.000

=====

Entry 5:
VASP calculation (PBE-GGA) on a geometry-optimized Tb3SiO structure.

Calculated values
Density of states at the Fermi level ... 3.206 states/eV/f.u.
Excess energy over the best structure of this formula in the dataset ... 0 meV per atom
Space-group type ... Cmmm
Energy relative to the elements, uncorrected ... -1.385 eV/atom
M_tot ... 0.00 μB/f.u.

a b c (Å): 3.755 7.680 7.685
angles (deg): 73.29 90.00 90.00
Fractional coordinates of all 10 atoms:
O  0.363  0.694  0.246
Tb  0.863  0.636  0.063
Tb  0.863  0.011  0.688
O  0.363  0.194  0.746
Si  0.863  0.194  0.246
Tb  0.863  0.377  0.804
Si  0.363  0.694  0.746
Tb  0.363  0.375  0.427
Tb  0.863  0.753  0.429
Tb  0.363  0.014  0.066

=====

Entry 6:
VASP calculation (PBE-GGA) on a geometry-optimized Tb2SiO structure.

Calculated values
Density of states at the Fermi level ... 1.560 states/eV/f.u.
Excess energy over the best structure of this formula in the dataset ... 239 meV per atom
Space-group type ... R3m
Energy relative to the elements, uncorrected ... -1.430 eV/atom
M_tot ... 0.00 μB/f.u.

a b c (Å): 3.478 3.478 7.521
angles (deg): 76.63 76.63 60.00
Fractional coordinates of all 4 atoms:
Tb  0.095  0.095  0.716
O  0.497  0.497  0.509
Si  0.668  0.668  0.996
Tb  0.240  0.240  0.279

=====

Entry 7:
VASP calculation (PBE-GGA) on a geometry-optimized Tb4Si2O structure.

Calculated values
Density of states at the Fermi level ... 7.235 states/eV/f.u.
Excess energy over the best structure of this formula in the dataset ... 18 meV per atom
Space-group type ... I4/mmm
Energy relative to the elements, uncorrected ... -1.226 eV/atom
M_tot ... 0.00 μB/f.u.

a b c (Å): 4.504 4.504 8.454
angles (deg): 105.45 105.45 90.00
Fractional coordinates of all 7 atoms:
Tb  0.500  0.000  0.000
Si  0.636  0.636  0.272
O  0.000  0.000  0.000
Tb  0.000  0.500  0.000
Tb  0.177  0.177  0.355
Si  0.364  0.364  0.728
Tb  0.823  0.823  0.645

=====

Entry 8:
VASP calculation (PBE-GGA) on a geometry-optimized TbSi2O6 structure.

Calculated values
Density of states at the Fermi level ... 4.258 states/eV/f.u.
Space-group type ... C2/c
Energy relative to the elements, uncorrected ... -2.727 eV/atom
M_tot ... 1.04 μB/f.u.

a b c (Å): 5.456 7.185 7.185
angles (deg): 86.11 77.44 77.44
Site moments in Bohr magnetons follow the coordinates.
Fractional coordinates of all 18 atoms:
O  0.854  0.182  0.072  0.04
Tb  0.250  0.121  0.879  -0.01
O  0.770  0.885  0.429  0.29
O  0.270  0.429  0.885  0.29
Si  0.755  0.361  0.217  -0.01
O  0.146  0.818  0.928  0.04
O  0.969  0.349  0.352  0.11
O  0.730  0.571  0.115  0.29
O  0.230  0.115  0.571  0.29
Si  0.745  0.783  0.639  -0.01
O  0.354  0.072  0.182  0.04
Si  0.255  0.217  0.361  -0.01
Si  0.245  0.639  0.783  -0.01
O  0.531  0.648  0.651  0.11
Tb  0.750  0.879  0.121  -0.01
O  0.646  0.928  0.818  0.04
O  0.031  0.651  0.648  0.11
O  0.469  0.352  0.349  0.11

=====

Entry 9:
VASP calculation (PBE-GGA) on a geometry-optimized TbThSi2O8 structure.

Calculated values
Density of states at the Fermi level ... 8.666 states/eV/f.u.
Space-group type ... I-4m2
Energy relative to the elements, uncorrected ... -3.085 eV/atom
M_tot ... 0.42 μB/f.u.

a b c (Å): 5.939 5.939 5.939
angles (deg): 106.53 106.53 115.52
Site moments in Bohr magnetons follow the coordinates.
Fractional coordinates of all 12 atoms:
O  0.758  0.082  0.676  0.04
O  0.335  0.156  0.821  0.05
O  0.405  0.082  0.324  0.04
O  0.918  0.595  0.676  0.04
Si  0.500  0.500  0.000  0.00
Si  0.750  0.250  0.500  0.00
O  0.335  0.514  0.179  0.05
O  0.486  0.665  0.821  0.05
O  0.844  0.665  0.179  0.05
O  0.918  0.242  0.324  0.04
Th  0.000  0.000  0.000  0.00
Tb  0.250  0.750  0.500  0.00

=====

Entry 10:
VASP calculation (PBE-GGA) on a geometry-optimized SiTc2O structure.

Calculated values
Density of states at the Fermi level ... 4.435 states/eV/f.u.
Excess energy over the best structure of this formula in the dataset ... 18 meV per atom
Space-group type ... I-42d
Energy relative to the elements, uncorrected ... 0.068 eV/atom
M_tot ... 0.00 μB/f.u.

a b c (Å): 5.212 5.212 5.845
angles (deg): 63.53 63.53 90.00
Fractional coordinates of all 8 atoms:
Si  0.750  0.250  0.500
Si  0.000  0.000  0.000
Tc  0.375  0.438  0.750
Tc  0.188  0.625  0.250
O  0.500  0.500  0.000
Tc  0.562  0.125  0.250
Tc  0.875  0.812  0.750
O  0.250  0.750  0.500

=====

Entry 11:
VASP calculation (PBE-GGA) on a geometry-optimized Si3TcO structure.

Calculated values
Density of states at the Fermi level ... 10.944 states/eV/f.u.
Excess energy over the best structure of this formula in the dataset ... 336 meV per atom
Space-group type ... Pm-3m
Energy relative to the elements, uncorrected ... 0.499 eV/atom
M_tot ... 0.00 μB/f.u.

a b c (Å): 4.564 4.564 4.564
angles (deg): 90.00 90.00 90.00
Fractional coordinates of all 5 atoms:
Tc  0.000  0.000  0.000
Si  0.500  0.000  0.000
O  0.500  0.500  0.500
Si  0.000  0.000  0.500
Si  0.000  0.500  0.000

=====

Entry 12:
VASP calculation (PBE-GGA) on a geometry-optimized SiTcO2 structure.

Calculated values
Density of states at the Fermi level ... 2.687 states/eV/f.u.
Space-group type ... R-3m
Energy relative to the elements, uncorrected ... -1.035 eV/atom
M_tot ... 0.00 μB/f.u.

a b c (Å): 6.626 6.626 6.626
angles (deg): 23.84 23.84 23.84
Fractional coordinates of all 4 atoms:
O  0.881  0.881  0.881
Tc  0.000  0.000  0.000
Si  0.500  0.500  0.500
O  0.119  0.119  0.119

=====

Which of these has the lowest energy relative to the elements, uncorrected? TbThSi2O8

=====

Copy entry 12 word for word.
VASP calculation (PBE-GGA) on a geometry-optimized SiTcO2 structure.

Calculated values
Density of states at the Fermi level ... 2.687 states/eV/f.u.
Space-group type ... R-3m
Energy relative to the elements, uncorrected ... -1.035 eV/atom
M_tot ... 0.00 μB/f.u.

a b c (Å): 6.626 6.626 6.626
angles (deg): 23.84 23.84 23.84
Fractional coordinates of all 4 atoms:
O  0.881  0.881  0.881
Tc  0.000  0.000  0.000
Si  0.500  0.500  0.500
O  0.119  0.119  0.119

=====

Among the records above, which one has the highest density of states at the Fermi level? Si3TcO

=====

What is the density of states at the Fermi level in the first record? 0.623 states/eV/f.u.